20
Lattice="4.539 -5.495 0.000 4.539 5.495 0.000 -2.564 0.000 5.439" Properties=species:S:1:pos:R:3 comment="CaCrGa2O6, optimized geometry, DFT GGA+U" crystal_system=monoclinic final_energy_ev_per_fu=-64.95 pbc="T T T"
Ca 2.615 4.343 4.079
Ca 3.898 -4.343 1.360
Cr 3.898 3.387 1.360
Cr 2.615 -3.387 4.079
Ga 1.199 0.858 4.533
Ga 2.481 -0.858 1.813
Ga 4.032 0.858 3.626
Ga 5.314 -0.858 0.906
O -0.614 0.893 3.745
O 1.215 2.661 5.155
O 0.668 -0.893 1.025
O 2.082 0.648 2.870
O 4.016 2.661 3.004
O 3.364 -0.648 0.150
O 3.149 0.648 5.289
O 2.497 -2.661 2.435
O 4.431 -0.648 2.569
O 5.845 0.893 4.414
O 5.298 -2.661 0.285
O 7.127 -0.893 1.695